1.
A relaxed Th3MgN crystal. Source: Alexandria via LeMat-Bulk, functional PBE.

Output
- Formation energy from raw total energies: -0.586 eV/atom
- DOS at the Fermi energy: 5.1 states/eV/cell

The structure in POSCAR format:
```
Th3MgN
1.0
5.028 0.000 0.000
0.000 5.028 0.000
0.000 0.000 5.028
Th Mg N
3 1 1
Direct
0.000 0.000 0.500
0.000 0.500 0.000
0.500 0.000 0.000
0.500 0.500 0.500
0.000 0.000 0.000
```

***

2.
A relaxed ZnSb crystal. Source: Alexandria via LeMat-Bulk, functional PBE.

Output
- Formation energy from raw total energies: 0.278 eV/atom
- DOS at the Fermi energy: 4.6 states/eV/cell

The structure in POSCAR format:
```
ZnSb
1.0
-4.196 4.196 4.196
4.196 -4.196 4.196
4.196 4.196 -4.196
Zn Sb
4 4
Direct
0.000 0.000 0.686
0.000 0.686 0.000
0.314 0.314 0.314
0.686 0.000 0.000
0.000 0.000 0.331
0.000 0.331 0.000
0.331 0.000 0.000
0.669 0.669 0.669
```